# AlCd2AuO

A PBEsol-optimized structure of AlCd2AuO (SCAN, Alexandria via LeMat-Bulk).

a b c (Å): 3.462 4.936 4.936
angles (deg): 90.00 90.00 90.00
Atoms (fractional coordinates):
1 Au 0.500 0.500 0.500
2 Al 0.500 0.000 0.000
3 O 0.000 0.000 0.000
4 Cd 0.000 0.000 0.500
5 Cd 0.000 0.500 0.000

Summary:
The total energy is -29.3496 eV per atom. The density comes out at 9.15 g/cm3. The calculation puts the formation energy without anion corrections at -556 meV/atom. The value obtained for the density of states at the Fermi level is 1.26 states/eV/f.u.


# YAl2CdAu

A PBEsol-optimized structure of YAl2CdAu (SCAN, Alexandria via LeMat-Bulk).

a b c (Å): 4.773 4.773 5.524
angles (deg): 90.00 90.00 90.00
Atoms (fractional coordinates):
1 Y 0.000 0.000 0.500
2 Au 0.000 0.000 0.000
3 Al 0.000 0.500 0.000
4 Al 0.500 0.000 0.000
5 Cd 0.500 0.500 0.500

Summary:
The total energy is -28.7619 eV per atom. The density comes out at 5.97 g/cm3. The value obtained for the density of states at the Fermi level is 3.01 states/eV/f.u. Its formation energy is -0.9 eV per formula unit.


# CeAlAu

A PBEsol-optimized structure of CeAlAu (SCAN, Alexandria via LeMat-Bulk).

a b c (Å): 4.571 7.478 7.808
angles (deg): 90.00 90.00 90.00
Last column: magnetic moment on the atom in μB.
Atoms (fractional coordinates):
1 Ce 0.750 0.990 0.304  0.87
2 Ce 0.750 0.490 0.196  0.87
3 Ce 0.250 0.010 0.696  0.87
4 Ce 0.250 0.510 0.804  0.87
5 Al 0.750 0.824 0.922  0.00
6 Al 0.750 0.324 0.578  0.00
7 Al 0.250 0.176 0.078  0.00
8 Al 0.250 0.676 0.422  0.00
9 Au 0.750 0.703 0.596  0.00
10 Au 0.750 0.203 0.904  0.00
11 Au 0.250 0.297 0.404  0.00
12 Au 0.250 0.797 0.096  0.00

Summary:
The total energy is -41.3832 eV per atom. The density comes out at 9.06 g/cm3. The value obtained for the density of states at the Fermi level is 4.30 states/eV/f.u. Its formation energy is -2.7 eV per formula unit.


# CeAlAu

A PBEsol-optimized structure of CeAlAu (SCAN, Alexandria via LeMat-Bulk).

a b c (Å): 4.718 4.718 6.320
angles (deg): 90.00 90.00 120.00
Last column: magnetic moment on the atom in μB.
Atoms (fractional coordinates):
1 Au 0.333 0.667 0.250  0.01
2 Au 0.667 0.333 0.750  0.01
3 Al 0.333 0.667 0.750  -0.01
4 Al 0.667 0.333 0.250  -0.01
5 Ce 0.000 0.000 0.000  0.91
6 Ce 0.000 0.000 0.500  0.91

Summary:
The total energy is -41.2845 eV per atom. The density comes out at 9.93 g/cm3. The value obtained for the density of states at the Fermi level is 2.37 states/eV/f.u. Its formation energy is -2.4 eV per formula unit.


# AlAuCl2

A PBEsol-optimized structure of AlAuCl2 (SCAN, Alexandria via LeMat-Bulk).

a b c (Å): 6.742 6.742 6.742
angles (deg): 43.54 82.09 97.91
Atoms (fractional coordinates):
1 Au 0.000 0.000 0.000
2 Au 0.500 0.250 0.250
3 Al 0.000 0.500 0.500
4 Al 0.500 0.750 0.750
5 Cl 0.830 0.125 0.545
6 Cl 0.170 0.625 0.705
7 Cl 0.670 0.545 0.625
8 Cl 0.330 0.705 0.125

Summary:
The total energy is -23.7229 eV per atom. The density comes out at 5.00 g/cm3. The calculation puts the formation energy without anion corrections at -507 meV/atom. As for the energy relative to the lowest polymorph listed for this composition: 0.0 meV/atom. The value obtained for the density of states at the Fermi level is 0.61 states/eV/f.u.


# AlAu2Cl

A PBEsol-optimized structure of AlAu2Cl (SCAN, Alexandria via LeMat-Bulk).

a b c (Å): 4.212 4.212 4.968
angles (deg): 115.08 115.08 90.00
Atoms (fractional coordinates):
1 Au 0.000 0.000 0.000
2 Au 0.750 0.250 0.500
3 Al 0.250 0.750 0.500
4 Cl 0.500 0.500 0.000

Summary:
The total energy is -38.3535 eV per atom. The density comes out at 10.74 g/cm3. The calculation puts the formation energy without anion corrections at 157 meV/atom. As for the energy relative to the lowest polymorph listed for this composition: 428.1 meV/atom. The value obtained for the density of states at the Fermi level is 0.88 states/eV/f.u.


# AlAuCl2

A PBEsol-optimized structure of AlAuCl2 (SCAN, Alexandria via LeMat-Bulk).

a b c (Å): 3.303 4.154 5.668
angles (deg): 90.00 90.00 90.00
Atoms (fractional coordinates):
1 Au 0.000 0.500 0.500
2 Al 0.500 0.500 0.000
3 Cl 0.000 0.000 0.000
4 Cl 0.500 0.000 0.500

Summary:
The total energy is -23.2306 eV per atom. The density comes out at 6.30 g/cm3. The calculation puts the formation energy without anion corrections at -14 meV/atom. As for the energy relative to the lowest polymorph listed for this composition: 492.3 meV/atom. The value obtained for the density of states at the Fermi level is 1.62 states/eV/f.u.


# AlAu2Cl

A PBEsol-optimized structure of AlAu2Cl (SCAN, Alexandria via LeMat-Bulk).

a b c (Å): 2.911 4.661 6.004
angles (deg): 112.84 104.03 90.00
Atoms (fractional coordinates):
1 Au 0.702 0.702 0.404
2 Au 0.298 0.298 0.596
3 Al 0.000 0.500 0.000
4 Cl 0.500 0.000 0.000

Summary:
The total energy is -38.7816 eV per atom. The density comes out at 10.46 g/cm3. The calculation puts the formation energy without anion corrections at -271 meV/atom. As for the energy relative to the lowest polymorph listed for this composition: 0.0 meV/atom. The value obtained for the density of states at the Fermi level is 0.89 states/eV/f.u.


# AlAuCl2

A PBEsol-optimized structure of AlAuCl2 (SCAN, Alexandria via LeMat-Bulk).

a b c (Å): 4.781 4.781 4.781
angles (deg): 60.00 60.00 60.00
Atoms (fractional coordinates):
1 Au 0.500 0.500 0.500
2 Al 0.000 0.000 0.000
3 Cl 0.250 0.250 0.250
4 Cl 0.750 0.750 0.750

Summary:
The total energy is -23.0998 eV per atom. The density comes out at 6.34 g/cm3. The calculation puts the formation energy without anion corrections at 116 meV/atom. As for the energy relative to the lowest polymorph listed for this composition: 623.1 meV/atom. The value obtained for the density of states at the Fermi level is 2.62 states/eV/f.u.


# AlAu2Cl

A PBEsol-optimized structure of AlAu2Cl (SCAN, Alexandria via LeMat-Bulk).

a b c (Å): 2.867 4.952 4.952
angles (deg): 90.00 90.00 90.00
Atoms (fractional coordinates):
1 Au 0.000 0.000 0.500
2 Au 0.000 0.500 0.000
3 Al 0.500 0.000 0.000
4 Cl 0.500 0.500 0.500

Summary:
The total energy is -38.3358 eV per atom. The density comes out at 10.78 g/cm3. The calculation puts the formation energy without anion corrections at 175 meV/atom. As for the energy relative to the lowest polymorph listed for this composition: 445.9 meV/atom. The value obtained for the density of states at the Fermi level is 1.97 states/eV/f.u.


# AlAu2Cl

A PBEsol-optimized structure of AlAu2Cl (SCAN, Alexandria via LeMat-Bulk).

a b c (Å): 2.875 5.069 4.811
angles (deg): 90.00 90.00 90.00
Atoms (fractional coordinates):
1 Au 0.000 0.000 0.000
2 Au 0.500 0.500 0.000
3 Al 0.000 0.500 0.500
4 Cl 0.500 0.000 0.500

Summary:
The total energy is -38.5112 eV per atom. The density comes out at 10.81 g/cm3. The calculation puts the formation energy without anion corrections at 0 meV/atom. As for the energy relative to the lowest polymorph listed for this composition: 270.4 meV/atom. The value obtained for the density of states at the Fermi level is 0.99 states/eV/f.u.


# AlPAu2Cl

A PBEsol-optimized structure of AlPAu2Cl (SCAN, Alexandria via LeMat-Bulk).

a b c (Å): 4.585 4.863 4.863
angles (deg): 90.00 90.00 90.00
Atoms (fractional coordinates):
1 P 0.500 0.000 0.000
2 Au 0.000 0.000 0.500
3 Au 0.000 0.500 0.000
4 Al 0.000 0.000 0.000
5 Cl 0.500 0.500 0.500

Summary:
The total energy is -32.3767 eV per atom. The density comes out at 7.46 g/cm3. The calculation puts the formation energy without anion corrections at 512 meV/atom. The value obtained for the density of states at the Fermi level is 2.97 states/eV/f.u.


# AlW2AuCl

A PBEsol-optimized structure of AlW2AuCl (SCAN, Alexandria via LeMat-Bulk).

a b c (Å): 4.371 4.371 4.732
angles (deg): 90.00 90.00 90.00
Last column: magnetic moment on the atom in μB.
Atoms (fractional coordinates):
1 Au 0.000 0.000 0.500  0.04
2 Al 0.500 0.500 0.500  -0.01
3 W 0.000 0.500 0.000  0.55
4 W 0.500 0.000 0.000  0.55
5 Cl 0.000 0.000 0.000  0.00

Summary:
The total energy is -43.0204 eV per atom. The density comes out at 11.52 g/cm3. The calculation puts the formation energy without anion corrections at 1832 meV/atom. The value obtained for the density of states at the Fermi level is 4.33 states/eV/f.u.


# Al2CoAu

A PBEsol-optimized structure of Al2CoAu (SCAN, Alexandria via LeMat-Bulk).

a b c (Å): 4.245 4.245 4.245
angles (deg): 60.00 60.00 60.00
Last column: magnetic moment on the atom in μB.
Atoms (fractional coordinates):
1 Co 0.500 0.500 0.500  1.50
2 Au 0.000 0.000 0.000  0.07
3 Al 0.250 0.250 0.250  0.01
4 Al 0.750 0.750 0.750  0.01

Summary:
The total energy is -26.0227 eV per atom. The density comes out at 9.51 g/cm3. The value obtained for the density of states at the Fermi level is 1.50 states/eV/f.u. Its formation energy is -2.1 eV per formula unit.


# AlCoAu

A PBEsol-optimized structure of AlCoAu (SCAN, Alexandria via LeMat-Bulk).

a b c (Å): 2.802 2.802 6.146
angles (deg): 90.00 90.00 120.00
Last column: magnetic moment on the atom in μB.
Atoms (fractional coordinates):
1 Co 0.333 0.667 0.312  1.34
2 Au 0.667 0.333 0.664  0.00
3 Al 0.000 0.000 0.024  -0.03

Summary:
The total energy is -31.4760 eV per atom. The density comes out at 11.24 g/cm3. The value obtained for the density of states at the Fermi level is 1.40 states/eV/f.u. Its formation energy is -0.2 eV per formula unit.